## a
{
  "formula": "ScBeAu",
  "functional": "PBE-GGA",
  "state": "optimized geometry",
  "magmom_total_mub_per_atom": 0.000,
  "lattice": [[4.1893, 0.0000, 0.0000], [2.0947, 3.6281, 0.0000], [2.0947, 1.2094, 3.4206]],
  "species": ["Sc", "Be", "Au"],
  "frac_coords": [[0.0000, 0.0000, 0.0000], [0.7500, 0.7500, 0.7500], [0.5000, 0.5000, 0.5000]]
}

## b
{
  "formula": "ScBeAu",
  "functional": "PBE-GGA",
  "state": "optimized geometry",
  "magmom_total_mub_per_atom": 0.000,
  "lattice": [[-3.4142, -2.2259, 1.0825], [2.2702, -5.3627, -3.8673], [3.2327, -2.4103, 5.2400]],
  "species": ["Sc", "Sc", "Sc", "Sc", "Au", "Au", "Au", "Au", "Be", "Be", "Be", "Be"],
  "frac_coords": [[0.2500, 0.7996, 0.4988], [0.7500, 0.2996, 0.0012], [0.2500, 0.7004, 0.9988], [0.7500, 0.2004, 0.5012], [0.7500, 0.9069, 0.2064], [0.7500, 0.5931, 0.7064], [0.2500, 0.0931, 0.7936], [0.2500, 0.4069, 0.2936], [0.7500, 0.5769, 0.3208], [0.7500, 0.9231, 0.8208], [0.2500, 0.0769, 0.1792], [0.2500, 0.4231, 0.6792]]
}

Most stable: b (next structure +327 meV per atom)